# 1
A relaxed structure of Pr3Sm2Th2. Source: the Alexandria database, functional GGA-PBE.

a = 5.6740 Å, b = 3.4841 Å, c = 12.5751 Å
α = 90.00°, β = 103.03°, γ = 90.00°
Sites, in units of the cell vectors:
Pr1 0.0000 0.0000 0.0000
Pr2 0.2896 0.0000 0.5788
Pr3 0.7104 0.0000 0.4212
Sm1 0.4243 0.5000 0.8496
Sm2 0.5757 0.5000 0.1504
Th1 0.1416 0.0000 0.2821
Th2 0.8584 0.0000 0.7179

SG   P2/m (10)
VASP energy   -5.319 eV per atom
Calculated formation energy   0.1975 eV per atom
Crystal system   monoclinic


# 2
A relaxed structure of La2ScCl. Source: the Alexandria database, functional GGA-PBE.

a = 3.9751 Å, b = 3.9751 Å, c = 8.4232 Å
α = 90.00°, β = 90.00°, γ = 90.00°
Sites, in units of the cell vectors:
La1 0.0000 0.0000 0.0000
La2 0.5000 0.5000 0.3260
Sc1 0.0000 0.0000 0.5668
Cl1 0.5000 0.5000 0.9687

SG   P4mm (99)
VASP energy   -4.935 eV per atom
Formation energy (no corrections)   -426 meV/atom
Crystal system   tetragonal


# 3
A relaxed structure of Na2IrPd. Source: the Alexandria database, functional GGA-PBE.

a = 7.9271 Å, b = 7.9271 Å, c = 5.0945 Å
α = 90.00°, β = 90.00°, γ = 90.00°
Sites, in units of the cell vectors:
Na1 0.2428 0.2500 0.1250
Na2 0.2500 0.7428 0.3750
Na3 0.2500 0.7572 0.8750
Na4 0.2572 0.2500 0.6250
Na5 0.7428 0.7500 0.6250
Na6 0.7500 0.2428 0.8750
Na7 0.7500 0.2572 0.3750
Na8 0.7572 0.7500 0.1250
Ir1 0.0000 0.0000 0.5000
Ir2 0.0000 0.5000 0.7500
Ir3 0.5000 0.0000 0.2500
Ir4 0.5000 0.5000 0.0000
Pd1 0.0000 0.0000 0.0000
Pd2 0.0000 0.5000 0.2500
Pd3 0.5000 0.0000 0.7500
Pd4 0.5000 0.5000 0.5000

SG   I-42d (122)
VASP energy   -3.482 eV per atom
Calculated formation energy   0.6913 eV per atom
Crystal system   tetragonal


# 4
A relaxed structure of HoErPa2C4. Source: the Alexandria database, functional GGA-PBE.

a = 6.1689 Å, b = 3.6239 Å, c = 6.2750 Å
α = 90.00°, β = 109.85°, γ = 90.00°
Sites, in units of the cell vectors:
Ho1 0.0000 0.0000 0.0000
Er1 0.0000 0.5000 0.5000
Pa1 0.5000 0.0000 0.5000
Pa2 0.5000 0.5000 0.0000
C1 0.2707 0.0000 0.7568
C2 0.2713 0.5000 0.2577
C3 0.7293 0.0000 0.2432
C4 0.7287 0.5000 0.7423

SG   P2/m (10)
VASP energy   -8.550 eV per atom
Calculated formation energy   -0.4220 eV per atom
Crystal system   monoclinic


- Look up the VASP energy of the second one.
  -4.935 eV per atom


- Which value of VASP energy does entry 3 give?
  -3.482 eV per atom